A geometry-optimized LaReTe2 structure. Source: the Alexandria database, functional PBE.

Geometry as POSCAR:
```
LaReTe2
1.0
4.322 0.000 0.000
0.000 5.098 -0.003
0.000 1.593 4.846
La Re Te
1 1 2
direct
0.500 0.250 0.250
0.500 0.750 0.750
0.000 0.943 0.943
0.000 0.557 0.557
```

DOS at the Fermi energy   1.741 states/eV per cell
DFT total energy   -24.480 eV per cell
SG   Cmmm
Relative energy among the computed polymorphs   23 meV per atom


A geometry-optimized LaReTe structure. Source: the Alexandria database, functional PBE.

Geometry as POSCAR:
```
LaReTe
1.0
-2.723 -2.942 -3.309
1.531 -4.861 -1.021
-2.770 -4.024 1.775
La Re Te
1 1 1
direct
0.750 0.750 0.750
0.000 0.000 0.000
0.500 0.500 0.500
```

DOS at the Fermi energy   5.657 states/eV per cell
DFT total energy   -17.460 eV per cell
SG   F-43m
Relative energy among the computed polymorphs   1504 meV per atom


Number 1: raw formation energy -0.21 eV/atom. Number 2: raw formation energy 1.02 eV/atom.